No. 1
ZrGaReF2 | GGA-PBE | optimized geometry

Cell lengths 3.872, 5.620, 3.872 Å; angles 90.00, 90.00, 90.00 degrees
Positions (direct):
Re: 0.000 0.500 0.000
Ga: 0.000 0.000 0.000
Zr: 0.500 0.500 0.500
F: 0.000 0.000 0.500
F: 0.500 0.000 0.000

Calculated values
For the total energy, the calculation gives -6.121 eV per atom. Its uncorrected formation energy is -568 meV per atom. As for the symmetry: No. 123. The calculation puts the density of states at the Fermi level at 0.431 states/eV/atom.

***

No. 2
GaRhF2 | GGA-PBE | optimized geometry

Cell lengths 7.986, 7.986, 7.986 Å; angles 20.00, 20.00, 20.00 degrees
Each line ends with the local moment (μB).
Positions (direct):
Rh: 0.000 0.000 0.000  0.72
Ga: 0.500 0.500 0.500  -0.01
F: 0.914 0.914 0.914  0.02
F: 0.086 0.086 0.086  0.02

Calculated values
The energy above the most stable polymorph in this dataset comes out at 0 kJ/mol of formula units. For the total energy, the calculation gives -4.547 eV per atom. Its uncorrected formation energy is -1017 meV per atom. As for the symmetry: No. 166. The calculation puts the density of states at the Fermi level at 0.667 states/eV/atom.

***

No. 3
GaRhF2 | GGA-PBE | optimized geometry

Cell lengths 4.230, 4.230, 4.230 Å; angles 60.00, 60.00, 60.00 degrees
Each line ends with the local moment (μB).
Positions (direct):
Rh: 0.500 0.500 0.500  1.63
Ga: 0.000 0.000 0.000  0.06
F: 0.250 0.250 0.250  0.12
F: 0.750 0.750 0.750  0.12

Calculated values
The energy above the most stable polymorph in this dataset comes out at 131 kJ/mol of formula units. For the total energy, the calculation gives -4.209 eV per atom. Its uncorrected formation energy is -678 meV per atom. As for the symmetry: No. 225. The calculation puts the density of states at the Fermi level at 0.568 states/eV/atom.

***

No. 4
GaRh2F | GGA-PBE | optimized geometry

Cell lengths 4.235, 4.235, 4.235 Å; angles 60.00, 60.00, 60.00 degrees
Each line ends with the local moment (μB).
Positions (direct):
Rh: 0.250 0.250 0.250  0.23
Rh: 0.750 0.750 0.750  0.23
Ga: 0.500 0.500 0.500  -0.02
F: 0.000 0.000 0.000  0.03

Calculated values
The energy above the most stable polymorph in this dataset comes out at 0 kJ/mol of formula units. For the total energy, the calculation gives -5.176 eV per atom. Its uncorrected formation energy is -276 meV per atom. As for the symmetry: No. 225. The calculation puts the density of states at the Fermi level at 1.588 states/eV/atom.

***

No. 5
GaRhF2 | GGA-PBE | optimized geometry

Cell lengths 8.046, 8.046, 8.046 Å; angles 19.77, 19.77, 19.77 degrees
Each line ends with the local moment (μB).
Positions (direct):
Rh: 0.500 0.500 0.500  1.74
Ga: 0.000 0.000 0.000  0.01
F: 0.916 0.916 0.916  0.05
F: 0.084 0.084 0.084  0.05

Calculated values
The energy above the most stable polymorph in this dataset comes out at 72 kJ/mol of formula units. For the total energy, the calculation gives -4.360 eV per atom. Its uncorrected formation energy is -829 meV per atom. As for the symmetry: No. 166. The calculation puts the density of states at the Fermi level at 0.687 states/eV/atom.

***

No. 6
Ga2RhF | GGA-PBE | optimized geometry

Cell lengths 6.176, 6.176, 5.440 Å; angles 55.41, 55.41, 90.00 degrees
Positions (direct):
Rh: 0.000 0.000 0.000
Rh: 0.750 0.250 0.500
Ga: 0.597 0.125 0.250
Ga: 0.153 0.625 0.250
Ga: 0.375 0.403 0.750
Ga: 0.875 0.847 0.750
F: 0.500 0.500 0.000
F: 0.250 0.750 0.500

Calculated values
The energy above the most stable polymorph in this dataset comes out at 0 kJ/mol of formula units. For the total energy, the calculation gives -4.597 eV per atom. Its uncorrected formation energy is -778 meV per atom. As for the symmetry: No. 122. The calculation puts the density of states at the Fermi level at 0.088 states/eV/atom.